Below is an optimized crystal structure of Tb2Pt, with properties calculated at the PBEsol level.

**Space-group type**: Pnma, No. 62
**Energy relative to the elements**: -0.903 eV/atom
**Total energy**: -6.564 eV per atom

```
12
Lattice="-4.5405 0.6414 -1.1078 -0.8431 -6.9752 -0.5829 -2.1214 -0.4485 8.4354" Properties=species:S:1:pos:R:3 pbc="T T T"
Tb -3.3918 -7.0566 4.7943
Tb -2.0295 -5.8337 -0.0814
Tb -4.1940 -3.1414 0.3043
Pt -1.5470 -1.6859 0.3422
Pt -5.9580 -5.0965 6.4025
Pt -4.8631 -1.4665 4.0163
Tb -3.3110 -3.6410 6.4403
Pt -2.6419 -5.3159 2.7284
Tb -5.4755 -0.9487 6.8260
Tb -2.3199 -2.4966 3.0410
Tb -4.1131 0.2742 1.9504
Tb -5.1850 -4.2858 3.7037
```